(1)
Below is Zr2Te2Se after structural relaxation, with properties calculated at the PBE-GGA level.

As for the energy: -6.388 eV per atom. As for the formation energy (no corrections): -5.08 eV/f.u. For the density of states at the Fermi level, the calculation gives 0.348 states/eV/atom. The space group is P-3m1 (164).

Cell lengths 3.950, 3.950, 10.260 Å; angles 90.00, 90.00, 120.00 degrees
Positions (direct):
Zr  0.667  0.333  0.146
Zr  0.333  0.667  0.854
Te  0.333  0.667  0.325
Te  0.667  0.333  0.675
Se  0.000  0.000  0.000



(2)
Below is ZrTeSe after structural relaxation, with properties calculated at the PBE-GGA level.

As for the energy: -6.166 eV per atom. As for the formation energy (no corrections): -3.32 eV/f.u. For the density of states at the Fermi level, the calculation gives 0.139 states/eV/atom. The space group is C2/m (12).

Cell lengths 3.889, 6.728, 7.847 Å; angles 113.38, 104.35, 90.00 degrees
Positions (direct):
Zr  0.749  0.758  0.498
Zr  0.251  0.242  0.502
Te  0.617  0.297  0.235
Te  0.383  0.703  0.765
Se  0.138  0.809  0.275
Se  0.862  0.191  0.725



(3)
Below is ZrTeSe after structural relaxation, with properties calculated at the PBE-GGA level.

As for the energy: -5.730 eV per atom. As for the formation energy (no corrections): -2.01 eV/f.u. For the density of states at the Fermi level, the calculation gives 0.166 states/eV/atom. The space group is P4/nmm (129).

Cell lengths 4.595, 4.595, 7.268 Å; angles 90.00, 90.00, 90.00 degrees
Positions (direct):
Zr  0.500  0.000  0.259
Zr  0.000  0.500  0.741
Te  0.500  0.500  0.000
Te  0.000  0.000  0.000
Se  0.500  0.000  0.629
Se  0.000  0.500  0.371



(4)
Below is ZrTeSe after structural relaxation, with properties calculated at the PBE-GGA level.

As for the energy: -6.023 eV per atom. As for the formation energy (no corrections): -2.89 eV/f.u. For the density of states at the Fermi level, the calculation gives 0.097 states/eV/atom. The space group is Cmcm (63).

Cell lengths 3.886, 5.916, 8.098 Å; angles 89.97, 76.11, 90.00 degrees
Positions (direct):
Se  0.931  0.250  0.137
Se  0.069  0.750  0.863
Zr  0.323  0.250  0.352
Zr  0.677  0.750  0.648
Te  0.677  0.250  0.647
Te  0.323  0.750  0.353



(5)
Below is ZrTeSe after structural relaxation, with properties calculated at the PBE-GGA level.

As for the energy: -5.769 eV per atom. As for the formation energy (no corrections): -2.13 eV/f.u. For the density of states at the Fermi level, the calculation gives 0.734 states/eV/atom. The space group is F-43m (216).

Cell lengths 4.875, 4.875, 4.875 Å; angles 60.00, 60.00, 60.00 degrees
Positions (direct):
Se  0.000  0.000  0.000
Te  0.500  0.500  0.500
Zr  0.750  0.750  0.750



(6)
Below is ZrTeSe after structural relaxation, with properties calculated at the PBE-GGA level.

As for the energy: -6.168 eV per atom. As for the formation energy (no corrections): -3.33 eV/f.u. For the density of states at the Fermi level, the calculation gives 0.167 states/eV/atom. The space group is P3m1 (156).

Cell lengths 3.883, 3.883, 6.889 Å; angles 90.00, 90.00, 120.00 degrees
Positions (direct):
Te  0.667  0.333  0.411
Se  0.000  0.000  0.904
Zr  0.333  0.667  0.686